YGe2Pt8 after structural relaxation. Source: the Alexandria database, functional PBE.

Cell lengths 5.446, 5.446, 7.679 Å; angles 90.00, 90.00, 90.00 degrees
Sites, in units of the cell vectors:
Y 0.000 0.000 0.000
Ge 0.000 0.500 0.500
Ge 0.500 0.000 0.500
Pt 0.254 0.254 0.283
Pt 0.254 0.254 0.717
Pt 0.254 0.746 0.283
Pt 0.254 0.746 0.717
Pt 0.746 0.254 0.283
Pt 0.746 0.254 0.717
Pt 0.746 0.746 0.283
Pt 0.746 0.746 0.717

Summary:
The energy of formation is -0.25 eV per atom. As for the space-group type: P4/mmm, No. 123.

=====

InFeIr2 after structural relaxation. Source: the Alexandria database, functional PBE.

Cell lengths 2.884, 4.727, 9.087 Å; angles 90.00, 90.00, 90.00 degrees
Sites, in units of the cell vectors:
In 0.000 0.000 0.000
In 0.500 0.500 0.500
Fe 0.000 0.000 0.500
Fe 0.500 0.500 0.000
Ir 0.000 0.500 0.235
Ir 0.000 0.500 0.765
Ir 0.500 0.000 0.265
Ir 0.500 0.000 0.735

Summary:
The energy of formation is 0.16 eV per atom. As for the space-group type: Immm, No. 71.

=====

TaCo2Au after structural relaxation. Source: the Alexandria database, functional PBE.

Cell lengths 8.483, 2.932, 4.837 Å; angles 90.00, 103.31, 90.00 degrees
Sites, in units of the cell vectors:
Ta 0.000 0.000 0.000
Ta 0.500 0.500 0.000
Co 0.242 0.500 0.219
Co 0.258 0.000 0.781
Co 0.742 0.000 0.219
Co 0.758 0.500 0.781
Au 0.000 0.500 0.500
Au 0.500 0.000 0.500

Summary:
The energy of formation is 0.10 eV per atom. As for the space-group type: C2/m, No. 12.

=====

HoCd2Pb3 after structural relaxation. Source: the Alexandria database, functional PBE.

Cell lengths 4.514, 10.507, 6.943 Å; angles 90.00, 90.00, 90.00 degrees
Sites, in units of the cell vectors:
Ho 0.000 0.149 0.000
Ho 0.000 0.851 0.500
Cd 0.000 0.174 0.511
Cd 0.000 0.826 0.011
Cd 0.500 0.323 0.748
Cd 0.500 0.677 0.248
Pb 0.000 0.499 0.508
Pb 0.000 0.501 0.008
Pb 0.500 0.002 0.753
Pb 0.500 0.326 0.248
Pb 0.500 0.674 0.748
Pb 0.500 0.998 0.253

Summary:
The energy of formation is -0.14 eV per atom. As for the space-group type: Pmc2_1, No. 26.

=====

SmAgS2 after structural relaxation. Source: the Alexandria database, functional PBE.

Cell lengths 7.778, 7.778, 12.947 Å; angles 90.00, 90.00, 90.00 degrees
Sites, in units of the cell vectors:
Sm 0.000 0.001 0.002
Sm 0.000 0.501 0.498
Sm 0.249 0.750 0.753
Sm 0.251 0.250 0.253
Sm 0.500 0.499 0.998
Sm 0.500 0.999 0.502
Sm 0.749 0.750 0.247
Sm 0.751 0.250 0.747
Ag 0.010 0.018 0.575
Ag 0.232 0.758 0.325
Ag 0.268 0.242 0.825
Ag 0.490 0.982 0.075
Ag 0.510 0.482 0.425
Ag 0.732 0.742 0.675
Ag 0.768 0.258 0.175
Ag 0.990 0.518 0.925
S 0.026 0.527 0.280
S 0.034 0.034 0.784
S 0.217 0.783 0.534
S 0.223 0.724 0.970
S 0.277 0.276 0.470
S 0.283 0.217 0.034
S 0.466 0.966 0.284
S 0.474 0.473 0.780
S 0.526 0.973 0.720
S 0.534 0.466 0.216
S 0.717 0.717 0.466
S 0.723 0.776 0.030
S 0.777 0.224 0.530
S 0.783 0.283 0.966
S 0.966 0.534 0.716
S 0.974 0.027 0.220

Summary:
The uncorrected energy comes out at -5.269 eV per atom. As for the space-group type: P2_12_12_1, No. 19.

=====

SrPrHo2S4 after structural relaxation. Source: the Alexandria database, functional PBE.

Cell lengths 6.971, 3.989, 7.012 Å; angles 90.00, 108.93, 90.00 degrees
Sites, in units of the cell vectors:
Sr 0.000 0.000 0.000
Pr 0.500 0.500 0.000
Ho 0.000 0.500 0.500
Ho 0.500 0.000 0.500
S 0.243 0.000 0.730
S 0.258 0.500 0.272
S 0.742 0.500 0.728
S 0.757 0.000 0.270

Summary:
The uncorrected energy comes out at -6.022 eV per atom. As for the space-group type: P2/m, No. 10.

=====

Dy4HoMg5 after structural relaxation. Source: the Alexandria database, functional PBE.

Cell lengths 3.788, 3.788, 18.893 Å; angles 90.00, 90.00, 90.00 degrees
Sites, in units of the cell vectors:
Dy 0.000 0.000 0.100
Dy 0.000 0.000 0.300
Dy 0.000 0.000 0.700
Dy 0.000 0.000 0.900
Ho 0.000 0.000 0.500
Mg 0.500 0.500 0.000
Mg 0.500 0.500 0.200
Mg 0.500 0.500 0.401
Mg 0.500 0.500 0.599
Mg 0.500 0.500 0.800

Summary:
The energy of formation is -0.08 eV per atom. As for the space-group type: P4/mmm, No. 123.

=====

Ca2Ga7Ni after structural relaxation. Source: the Alexandria database, functional PBE.

Cell lengths 4.208, 4.208, 10.934 Å; angles 90.00, 90.00, 90.00 degrees
Sites, in units of the cell vectors:
Ca 0.000 0.500 0.239
Ca 0.500 0.000 0.761
Ga 0.000 0.000 0.000
Ga 0.000 0.000 0.500
Ga 0.000 0.500 0.644
Ga 0.000 0.500 0.874
Ga 0.500 0.000 0.126
Ga 0.500 0.000 0.356
Ga 0.500 0.500 0.500
Ni 0.500 0.500 0.000

Summary:
The energy of formation is -0.38 eV per atom. As for the space-group type: P-4m2, No. 115.

=====

NdIn6Ni3 after structural relaxation. Source: the Alexandria database, functional PBE.

Cell lengths 8.279, 4.378, 11.904 Å; angles 90.00, 90.72, 90.00 degrees
Sites, in units of the cell vectors:
Nd 0.018 0.250 0.301
Nd 0.982 0.750 0.699
In 0.052 0.750 0.087
In 0.217 0.250 0.556
In 0.286 0.250 0.801
In 0.379 0.750 0.980
In 0.397 0.250 0.223
In 0.405 0.750 0.408
In 0.595 0.250 0.592
In 0.603 0.750 0.777
In 0.621 0.250 0.020
In 0.714 0.750 0.199
In 0.783 0.750 0.444
In 0.948 0.250 0.913
Ni 0.099 0.750 0.472
Ni 0.232 0.250 0.037
Ni 0.349 0.750 0.647
Ni 0.651 0.250 0.353
Ni 0.768 0.750 0.963
Ni 0.901 0.250 0.528

Summary:
The energy of formation is -0.15 eV per atom. As for the space-group type: P2_1/m, No. 11.

=====

LaFeIr2 after structural relaxation. Source: the Alexandria database, functional PBE.

Cell lengths 3.108, 3.108, 7.337 Å; angles 90.00, 90.00, 90.00 degrees
Sites, in units of the cell vectors:
La 0.000 0.000 0.000
Fe 0.000 0.000 0.500
Ir 0.500 0.500 0.305
Ir 0.500 0.500 0.695

Summary:
The energy of formation is -0.11 eV per atom. As for the space-group type: P4/mmm, No. 123.

=====

NpCrC after structural relaxation. Source: the Alexandria database, functional PBE.

Cell lengths 3.522, 3.522, 3.793 Å; angles 90.00, 90.00, 120.00 degrees
Sites, in units of the cell vectors:
Np 0.000 0.000 0.000
Cr 0.333 0.667 0.500
C 0.667 0.333 0.500

Summary:
The energy of formation is 0.33 eV per atom. As for the space-group type: P-6m2, No. 187.

=====

Pr3Tl3SnS8 after structural relaxation. Source: the Alexandria database, functional PBE.

Cell lengths 8.982, 8.982, 8.982 Å; angles 54.72, 54.72, 54.72 degrees
Sites, in units of the cell vectors:
Pr 0.000 0.500 0.500
Pr 0.500 0.000 0.500
Pr 0.500 0.500 0.000
Tl 0.000 0.000 0.500
Tl 0.000 0.500 0.000
Tl 0.500 0.000 0.000
Sn 0.000 0.000 0.000
S 0.218 0.218 0.759
S 0.218 0.759 0.218
S 0.241 0.782 0.782
S 0.265 0.265 0.265
S 0.735 0.735 0.735
S 0.759 0.218 0.218
S 0.782 0.241 0.782
S 0.782 0.782 0.241

Summary:
The uncorrected energy comes out at -5.092 eV per atom. As for the space-group type: R-3m, No. 166.

=====

Sr2Cd2In3 after structural relaxation. Source: the Alexandria database, functional PBE.

Cell lengths 12.117, 4.863, 7.725 Å; angles 90.00, 114.57, 90.00 degrees
Sites, in units of the cell vectors:
Sr 0.148 0.000 0.276
Sr 0.352 0.500 0.724
Sr 0.648 0.500 0.276
Sr 0.852 0.000 0.724
Cd 0.150 0.000 0.745
Cd 0.350 0.500 0.255
Cd 0.650 0.500 0.745
Cd 0.850 0.000 0.255
In 0.000 0.500 0.500
In 0.099 0.500 0.932
In 0.401 0.000 0.068
In 0.500 0.000 0.500
In 0.599 0.000 0.932
In 0.901 0.500 0.068

Summary:
The energy of formation is -0.32 eV per atom. As for the space-group type: C2/m, No. 12.

=====

LiScSe after structural relaxation. Source: the Alexandria database, functional PBE.

Cell lengths 4.012, 4.012, 3.640 Å; angles 90.00, 90.00, 120.00 degrees
Sites, in units of the cell vectors:
Li 0.000 0.000 0.000
Sc 0.667 0.333 0.500
Se 0.333 0.667 0.000

Summary:
The uncorrected energy comes out at -4.850 eV per atom. As for the space-group type: P-6m2, No. 187.

=====

CeSc4Bi5 after structural relaxation. Source: the Alexandria database, functional PBE.

Cell lengths 11.444, 11.444, 11.444 Å; angles 158.17, 148.72, 38.47 degrees
Sites, in units of the cell vectors:
Ce 0.000 0.000 0.000
Sc 0.205 0.205 0.000
Sc 0.399 0.399 0.000
Sc 0.601 0.601 0.000
Sc 0.795 0.795 0.000
Bi 0.108 0.608 0.500
Bi 0.302 0.802 0.500
Bi 0.500 0.000 0.500
Bi 0.698 0.198 0.500
Bi 0.892 0.392 0.500

Summary:
The energy of formation is -0.67 eV per atom. As for the space-group type: Immm, No. 71.

=====

NdTm5Mg3 after structural relaxation. Source: the Alexandria database, functional PBE.

Cell lengths 7.240, 7.240, 12.039 Å; angles 101.47, 101.47, 77.02 degrees
Sites, in units of the cell vectors:
Nd 0.117 0.117 0.266
Nd 0.883 0.883 0.734
Tm 0.004 0.637 0.200
Tm 0.274 0.274 0.068
Tm 0.310 0.690 0.000
Tm 0.363 0.996 0.800
Tm 0.413 0.413 0.368
Tm 0.587 0.587 0.632
Tm 0.637 0.004 0.200
Tm 0.690 0.310 0.000
Tm 0.726 0.726 0.932
Tm 0.996 0.363 0.800
Mg 0.000 0.000 0.000
Mg 0.000 0.000 0.500
Mg 0.266 0.266 0.564
Mg 0.424 0.424 0.789
Mg 0.576 0.576 0.211
Mg 0.734 0.734 0.436

Summary:
The energy of formation is 0.37 eV per atom. As for the space-group type: C2/m, No. 12.

=====

YOsPbO6 after structural relaxation. Source: the Alexandria database, functional PBE.

Cell lengths 5.623, 5.623, 10.058 Å; angles 90.00, 90.00, 120.00 degrees
Sites, in units of the cell vectors:
Y 0.333 0.667 0.250
Y 0.667 0.333 0.750
Os 0.333 0.667 0.750
Os 0.667 0.333 0.250
Pb 0.000 0.000 0.000
Pb 0.000 0.000 0.500
O 0.046 0.394 0.642
O 0.046 0.651 0.858
O 0.349 0.394 0.858
O 0.349 0.954 0.642
O 0.394 0.046 0.142
O 0.394 0.349 0.358
O 0.606 0.651 0.642
O 0.606 0.954 0.858
O 0.651 0.046 0.358
O 0.651 0.606 0.142
O 0.954 0.349 0.142
O 0.954 0.606 0.358

Summary:
The uncorrected energy comes out at -7.369 eV per atom. As for the space-group type: P-31c, No. 163.

=====

HgPNO2 after structural relaxation. Source: the Alexandria database, functional PBE.

Cell lengths 4.245, 4.245, 3.422 Å; angles 90.00, 90.00, 90.00 degrees
Sites, in units of the cell vectors:
Hg 0.000 0.000 0.000
P 0.500 0.500 0.000
N 0.500 0.500 0.500
O 0.000 0.500 0.500
O 0.500 0.000 0.500

Summary:
The uncorrected energy comes out at -3.697 eV per atom. As for the space-group type: P4/mmm, No. 123.

=====

PrSbHAu after structural relaxation. Source: the Alexandria database, functional PBE.

Cell lengths 4.561, 4.561, 4.597 Å; angles 90.00, 90.00, 120.00 degrees
Sites, in units of the cell vectors:
Pr 0.000 0.000 0.000
Sb 0.667 0.333 0.570
H 0.333 0.667 0.014
Au 0.333 0.667 0.398

Summary:
The uncorrected energy comes out at -4.533 eV per atom. As for the space-group type: P3m1, No. 156.

=====

Tb5Nd2Er after structural relaxation. Source: the Alexandria database, functional PBE.

Cell lengths 9.554, 9.554, 6.602 Å; angles 98.70, 98.70, 62.53 degrees
Sites, in units of the cell vectors:
Tb 0.060 0.940 0.750
Tb 0.114 0.287 0.029
Tb 0.287 0.114 0.529
Tb 0.310 0.490 0.851
Tb 0.490 0.310 0.351
Tb 0.510 0.690 0.649
Tb 0.690 0.510 0.149
Tb 0.713 0.886 0.471
Tb 0.886 0.713 0.971
Tb 0.940 0.060 0.250
Nd 0.174 0.663 0.376
Nd 0.337 0.826 0.124
Nd 0.663 0.174 0.876
Nd 0.826 0.337 0.624
Er 0.000 0.500 0.500
Er 0.500 0.000 0.000

Summary:
The energy of formation is 0.16 eV per atom. As for the space-group type: C2/c, No. 15.